Record 1
Material: Ba2ScTl
Method: DFT, GGA-PBEsol
State: relaxed

Calculated values
formation energy = 0.04 eV/atom
space-group type = P4/mmm, No. 123

The structure in POSCAR format:
```
Ba2ScTl
1.0
4.186 0.000 0.000
0.000 4.186 0.000
0.000 0.000 8.348
Ba Sc Tl
2 1 1
Direct
0.000 0.000 0.239
0.000 0.000 0.761
0.500 0.500 0.500
0.500 0.500 0.000
```

***

Record 2
Material: ZrSc5
Method: DFT, GGA-PBEsol
State: relaxed

Calculated values
formation energy = 0.00 eV/atom
space-group type = Amm2, No. 38

The structure in POSCAR format:
```
ZrSc5
1.0
5.068 0.000 0.000
0.000 1.620 8.463
0.000 -1.620 8.463
Zr Sc
1 5
Direct
0.000 0.000 0.000
0.000 0.334 0.334
0.000 0.662 0.662
0.500 0.222 0.222
0.500 0.552 0.552
0.500 0.889 0.889
```

***

Record 3
Material: CsLi3Zn
Method: DFT, GGA-PBEsol
State: relaxed

Calculated values
formation energy = 0.18 eV/atom
space-group type = Pm-3m, No. 221

The structure in POSCAR format:
```
CsLi3Zn
1.0
5.377 0.000 0.000
0.000 5.377 0.000
0.000 0.000 5.377
Cs Li Zn
1 3 1
Direct
0.000 0.000 0.000
0.000 0.500 0.500
0.500 0.000 0.500
0.500 0.500 0.000
0.500 0.500 0.500
```

***

Record 4
Material: Ta4MoSe10
Method: DFT, GGA-PBEsol
State: relaxed

Calculated values
space-group type = Cm, No. 8
uncorrected formation energy = -0.809 eV/atom

The structure in POSCAR format:
```
Ta4MoSe10
1.0
9.359 -1.691 0.000
9.359 1.691 0.000
-1.375 0.000 10.015
Ta Mo Se
4 1 10
Direct
0.000 0.000 0.000
0.204 0.204 0.592
0.396 0.396 0.210
0.597 0.597 0.804
0.799 0.799 0.404
0.137 0.137 0.992
0.197 0.197 0.341
0.339 0.339 0.588
0.395 0.395 0.952
0.533 0.533 0.192
0.599 0.599 0.548
0.735 0.735 0.786
0.794 0.794 0.151
0.934 0.934 0.396
0.994 0.994 0.744
```

***

Record 5
Material: Sm2InGe2
Method: DFT, GGA-PBEsol
State: relaxed

Calculated values
formation energy = -0.80 eV/atom
space-group type = P4/mbm, No. 127

The structure in POSCAR format:
```
Sm2InGe2
1.0
7.357 0.000 0.000
0.000 7.357 0.000
0.000 0.000 4.249
Sm In Ge
4 2 4
Direct
0.179 0.321 0.000
0.321 0.821 0.000
0.679 0.179 0.000
0.821 0.679 0.000
0.000 0.000 0.500
0.500 0.500 0.500
0.121 0.621 0.500
0.379 0.121 0.500
0.621 0.879 0.500
0.879 0.379 0.500
```

***

Record 6
Material: HgTePt
Method: DFT, GGA-PBEsol
State: relaxed

Calculated values
space-group type = F-43m, No. 216
uncorrected formation energy = 0.351 eV/atom

The structure in POSCAR format:
```
HgTePt
1.0
0.000 3.279 3.279
3.279 0.000 3.279
3.279 3.279 0.000
Hg Te Pt
1 1 1
Direct
0.000 0.000 0.000
0.750 0.750 0.750
0.500 0.500 0.500
```

***

Record 7
Material: Mg4Tl5
Method: DFT, GGA-PBEsol
State: relaxed

Calculated values
formation energy = -0.03 eV/atom
space-group type = I4/mmm, No. 139

The structure in POSCAR format:
```
Mg4Tl5
1.0
-4.849 4.849 2.385
4.849 -4.849 2.385
4.849 4.849 -2.385
Mg Tl
4 5
Direct
0.000 0.335 0.335
0.000 0.665 0.665
0.335 0.000 0.335
0.665 0.000 0.665
0.000 0.000 0.000
0.329 0.329 0.659
0.329 0.671 0.000
0.671 0.329 0.000
0.671 0.671 0.341
```

***

Record 8
Material: NaAuN3
Method: DFT, GGA-PBEsol
State: relaxed

Calculated values
space-group type = Pm-3m, No. 221
uncorrected formation energy = 2.987 eV/atom

The structure in POSCAR format:
```
NaAuN3
1.0
4.287 0.000 0.000
0.000 4.287 0.000
0.000 0.000 4.287
Na Au N
1 1 3
Direct
0.000 0.000 0.000
0.500 0.500 0.500
0.000 0.000 0.500
0.000 0.500 0.000
0.500 0.000 0.000
```

***

Record 9
Material: LiW2Cl
Method: DFT, GGA-PBEsol
State: relaxed

Calculated values
space-group type = P4/mmm, No. 123
uncorrected formation energy = 1.072 eV/atom

The structure in POSCAR format:
```
LiW2Cl
1.0
2.676 0.000 0.000
0.000 2.676 0.000
0.000 0.000 8.605
Li W Cl
1 2 1
Direct
0.000 0.000 0.000
0.500 0.500 0.258
0.500 0.500 0.742
0.000 0.000 0.500
```

***

Record 10
Material: Ho2Sc3Si4
Method: DFT, GGA-PBEsol
State: relaxed

Calculated values
space-group type = Pnma, No. 62
uncorrected formation energy = -0.888 eV/atom

The structure in POSCAR format:
```
Ho2Sc3Si4
1.0
7.000 0.000 0.000
0.000 13.786 0.000
0.000 0.000 7.293
Ho Sc Si
8 12 16
Direct
0.011 0.096 0.176
0.011 0.404 0.176
0.489 0.596 0.676
0.489 0.904 0.676
0.511 0.096 0.324
0.511 0.404 0.324
0.989 0.596 0.824
0.989 0.904 0.824
0.163 0.750 0.503
0.169 0.125 0.677
0.169 0.375 0.677
0.331 0.625 0.177
0.331 0.875 0.177
0.337 0.250 0.003
0.663 0.750 0.997
0.669 0.125 0.823
0.669 0.375 0.823
0.831 0.625 0.323
0.831 0.875 0.323
0.837 0.250 0.497
0.034 0.750 0.114
0.158 0.539 0.465
0.158 0.961 0.465
0.214 0.250 0.371
0.286 0.750 0.871
0.342 0.039 0.965
0.342 0.461 0.965
0.466 0.250 0.614
0.534 0.750 0.386
0.658 0.539 0.035
0.658 0.961 0.035
0.714 0.250 0.129
0.786 0.750 0.629
0.842 0.039 0.535
0.842 0.461 0.535
0.966 0.250 0.886
```